Computed, not measured: a geometry-optimized KMg3Bi structure at the GGA-PBE level of DFT.

Computed properties:
Raw total energy   -8.4 eV for the cell shown
Energy above the most stable polymorph in this dataset   0 meV per atom
E_form   266.6 meV per atom
Mass density   2.613 g cm⁻³
Magnetization   0.000 μB per cell
Crystal system   cubic

a b c (Å): 5.887 5.887 5.887
angles (deg): 90.00 90.00 90.00
Space group Pm-3m (No. 221)
One atom of each set of equivalent atoms:
K 0.000 0.000 0.000 x1
Mg 0.000 0.500 0.500 x3
Bi 0.500 0.500 0.500 x1

***

Computed, not measured: a geometry-optimized KMg3Bi2 structure at the GGA-PBE level of DFT.

Computed properties:
Raw total energy   -61.5 eV for the cell shown
E_form   -290.4 meV per atom
Mass density   4.514 g cm⁻³
Magnetization   0.000 μB per cell
Crystal system   monoclinic

a b c (Å): 18.913 4.706 9.741
angles (deg): 90.00 115.90 90.00
Space group C2/m (No. 12)
One atom of each set of equivalent atoms:
K 0.140 0.000 0.060 x4
Mg 0.040 0.000 0.393 x4
Mg 0.082 0.500 0.637 x4
Mg 0.179 0.500 0.447 x4
Bi 0.013 0.500 0.188 x4
Bi 0.202 0.000 0.677 x4

***

Computed, not measured: a geometry-optimized KMg3Bi structure at the GGA-PBE level of DFT.

Computed properties:
Raw total energy   -4.8 eV for the cell shown
Energy above the most stable polymorph in this dataset   733 meV per atom
E_form   999.4 meV per atom
Mass density   2.734 g cm⁻³
Magnetization   0.000 μB per cell
Crystal system   cubic

a b c (Å): 5.799 5.799 5.799
angles (deg): 90.00 90.00 90.00
Space group Pm-3m (No. 221)
One atom of each set of equivalent atoms:
K 0.000 0.000 0.000 x1
Mg 0.000 0.000 0.500 x3
Bi 0.500 0.500 0.500 x1

***

Computed, not measured: a geometry-optimized KMgBi structure at the GGA-PBE level of DFT.

Computed properties:
Raw total energy   -14.4 eV for the cell shown
E_form   -208.3 meV per atom
Mass density   4.253 g cm⁻³
Magnetization   0.000 μB per cell
Crystal system   triclinic

a b c (Å): 5.297 6.702 7.228
angles (deg): 99.34 110.40 110.72
Space group P1 (No. 1)
One atom of each set of equivalent atoms:
K 0.000 0.000 0.000 x1
K 0.206 0.879 0.582 x1
Mg 0.458 0.663 0.202 x1
Mg 0.748 0.217 0.381 x1
Bi 0.420 0.441 0.549 x1
Bi 0.786 0.438 0.033 x1